Entry 1:
First-principles (PBE-GGA) data for a geometry-optimized Ta2FePt8 structure, as listed in Alexandria.

Cell lengths 7.397, 7.397, 6.398 Å; angles 106.03, 106.03, 31.37 degrees
Element x y z (fractional)
1 Ta 0.220 0.220 0.158
2 Ta 0.780 0.780 0.842
3 Fe 0.500 0.500 0.500
4 Pt 0.043 0.043 0.234
5 Pt 0.143 0.143 0.695
6 Pt 0.322 0.322 0.588
7 Pt 0.401 0.401 0.050
8 Pt 0.599 0.599 0.950
9 Pt 0.678 0.678 0.412
10 Pt 0.857 0.857 0.305
11 Pt 0.957 0.957 0.766

Output
M_tot, μB per atom: 0.336
Energy relative to the elements, meV/atom: -501.9

Entry 2:
First-principles (PBE-GGA) data for a geometry-optimized NbSF structure, as listed in Alexandria.

Cell lengths 4.186, 3.202, 7.829 Å; angles 90.00, 92.15, 90.00 degrees
Element x y z (fractional)
1 Nb 0.132 0.250 0.158
2 Nb 0.868 0.750 0.842
3 S 0.314 0.250 0.857
4 S 0.686 0.750 0.143
5 F 0.241 0.250 0.398
6 F 0.759 0.750 0.602

Output
ΔE_f (raw), kJ/mol of atoms: -154.7
M_tot, μB per atom: 0.000